NaFeI2: relaxed, PBE.

Cell lengths 6.804, 6.804, 7.865 Å; angles 64.37, 64.37, 90.00 degrees
Each line ends with the local moment (μB).
Positions (direct):
I1 0.680 0.125 0.250  0.03
I2 0.070 0.625 0.250  0.03
I3 0.375 0.320 0.750  0.03
I4 0.875 0.930 0.750  0.03
Na1 0.500 0.500 0.000  0.00
Na2 0.250 0.750 0.500  0.00
Fe1 0.000 0.000 0.000  2.70
Fe2 0.750 0.250 0.500  2.69

Summary:
Total energy = -3.51 eV/atom
Magnetization = 6.0 μB per cell
Space group = I-42d (122)
Energy above the lowest structure with this stoichiometry = 0.000 eV/atom
N(E_F) = 0.00 states/eV/f.u.
Formation energy without anion corrections = -293.0 meV per atom